[1]
First-principles (GGA-PBE) data for an optimized crystal structure of NaLi3Ti2Al2P6O24, as listed in Alexandria via LeMat-Bulk.

a = 8.4354 Å, b = 8.4658 Å, c = 8.6953 Å
α = 60.98°, β = 61.23°, γ = 60.15°
Space group P1 (No. 1)
Inequivalent atoms, fractional coordinates:
Na  0.0000  0.0000  0.0000 (multiplicity 1)
Li  0.3174  0.7295  0.4241 (multiplicity 1)
Li  0.5390  0.3034  0.4163 (multiplicity 1)
Li  0.8239  0.5720  0.3450 (multiplicity 1)
Ti  0.1451  0.1392  0.5655 (multiplicity 1)
Ti  0.3637  0.3566  0.9103 (multiplicity 1)
Al  0.6475  0.6411  0.0608 (multiplicity 1)
Al  0.8542  0.8526  0.4335 (multiplicity 1)
P  0.0299  0.7459  0.7479 (multiplicity 1)
P  0.2544  0.5336  0.2437 (multiplicity 1)
P  0.4716  0.0250  0.7467 (multiplicity 1)
P  0.5429  0.9559  0.2427 (multiplicity 1)
P  0.7504  0.4683  0.7448 (multiplicity 1)
P  0.9645  0.2473  0.2376 (multiplicity 1)
O  0.0142  0.7590  0.5722 (multiplicity 1)
O  0.0285  0.9427  0.7224 (multiplicity 1)
O  0.0525  0.6909  0.2727 (multiplicity 1)
O  0.1236  0.2987  0.0564 (multiplicity 1)
O  0.2368  0.5995  0.7449 (multiplicity 1)
O  0.2670  0.3403  0.4096 (multiplicity 1)
O  0.2953  0.0242  0.7306 (multiplicity 1)
O  0.3048  0.4976  0.0665 (multiplicity 1)
O  0.3533  0.9731  0.4113 (multiplicity 1)
O  0.4051  0.5935  0.2377 (multiplicity 1)
O  0.4178  0.2307  0.7437 (multiplicity 1)
O  0.5021  0.1177  0.0666 (multiplicity 1)
O  0.5080  0.8697  0.9230 (multiplicity 1)
O  0.5979  0.7527  0.2374 (multiplicity 1)
O  0.5988  0.4071  0.7569 (multiplicity 1)
O  0.6431  0.0136  0.5664 (multiplicity 1)
O  0.7016  0.5028  0.9199 (multiplicity 1)
O  0.7110  0.9596  0.2651 (multiplicity 1)
O  0.7616  0.4013  0.2341 (multiplicity 1)
O  0.7634  0.6431  0.5662 (multiplicity 1)
O  0.8772  0.6920  0.9291 (multiplicity 1)
O  0.9452  0.2961  0.7213 (multiplicity 1)
O  0.9686  0.0500  0.2710 (multiplicity 1)
O  0.9929  0.2600  0.3965 (multiplicity 1)

***

[2]
First-principles (GGA-PBE) data for an optimized crystal structure of LiNiPd, as listed in Alexandria via LeMat-Bulk.

a = 12.8344 Å, b = 2.6797 Å, c = 4.6419 Å
α = 90.00°, β = 90.00°, γ = 90.00°
Space group Amm2 (No. 38)
Inequivalent atoms, fractional coordinates:
Li  0.0000  0.0000  0.0000 (multiplicity 2)
Li  0.5000  0.0000  0.3294 (multiplicity 2)
Ni  0.1630  0.0000  0.3329 (multiplicity 4)
Pd  0.3317  0.0000  0.9980 (multiplicity 4)

Properties
Its formation energy is -50 meV/atom.

***

[3]
First-principles (GGA-PBE) data for an optimized crystal structure of Th2Al2Ga4Ir, as listed in Alexandria via LeMat-Bulk.

a = 6.3376 Å, b = 6.3376 Å, c = 8.8562 Å
α = 90.00°, β = 90.00°, γ = 90.00°
Space group I4/mmm (No. 139)
Inequivalent atoms, fractional coordinates:
Th  0.0000  0.5000  0.2500 (multiplicity 4)
Al  0.0000  0.0000  0.2171 (multiplicity 4)
Ga  0.2153  0.2153  0.0000 (multiplicity 8)
Ir  0.0000  0.0000  0.5000 (multiplicity 2)

Properties
Its formation energy is -580 meV/atom.

***

[4]
First-principles (GGA-PBE) data for an optimized crystal structure of W2C, as listed in Alexandria via LeMat-Bulk.

a = 3.5343 Å, b = 3.5343 Å, c = 26.0689 Å
α = 90.00°, β = 90.00°, γ = 90.00°
Space group I4_1/amd (No. 141, origin choice 2)
Inequivalent atoms, fractional coordinates:
W  0.0000  0.2500  0.1233 (multiplicity 8)
W  0.0000  0.2500  0.2932 (multiplicity 8)
C  0.0000  0.2500  0.8141 (multiplicity 8)

Properties
Its formation energy is 1319 meV/atom.

***

no.,total DFT energy (no corrections) (eV per atom)
1,-7.312
2,-4.346
3,-5.390
4,-10.391